[1]
DFT (PBE-GGA) results for crystalline Sm3TmSc3Se8 at its relaxed geometry.

```
15
Lattice="7.9685 0.0000 0.0000 -3.9843 6.9021 -0.0240 0.0000 -4.5778 6.6574" Properties=species:S:1:pos:R:3 pbc="T T T"
Se -1.9136 3.4229 4.8815
Se 0.0000 2.3068 1.8063
Se 0.0000 0.1061 4.8920
Se 2.0707 -1.0986 1.7519
Se 1.9136 3.4229 4.8815
Se 3.9843 2.2182 1.7414
Se 5.8978 -1.0986 1.7519
Se 3.9843 0.0175 4.8271
Sc -1.9921 1.1622 3.3167
Sc 1.9921 1.1622 3.3167
Sc 3.9843 -2.2889 3.3287
Sm 0.0000 0.0000 0.0000
Sm 1.9921 3.4511 -0.0120
Sm -1.9921 3.4511 -0.0120
Tm 0.0000 -2.2889 3.3287
```

Properties
formation energy from raw total energies: -26.5 eV per formula unit
uncorrected energy: -6.134 eV/atom
total magnetization: 0.00 μB/f.u.



[2]
DFT (PBE-GGA) results for crystalline ScIr3Os at its relaxed geometry.

```
5
Lattice="4.7360 0.0000 0.0000 0.0000 4.7360 0.0000 0.0000 0.0000 4.7360" Properties=species:S:1:pos:R:3 pbc="T T T"
Ir 2.3680 0.0000 0.0000
Ir 0.0000 0.0000 2.3680
Ir 0.0000 2.3680 0.0000
Sc 2.3680 2.3680 2.3680
Os 0.0000 0.0000 0.0000
```

Properties
uncorrected energy: -7.750 eV/atom
formation energy: 1.08 eV/atom
total magnetization: 0.00 μB/f.u.



[3]
DFT (PBE-GGA) results for crystalline SrPt4Au8 at its relaxed geometry.

```
13
Lattice="-3.0111 -3.9919 -2.5841 -3.7490 -4.1131 4.5926 -6.6512 2.1822 -1.7506" Properties=species:S:1:pos:R:3 pbc="T T T"
Pt -1.8745 -2.0565 2.2963
Pt -3.3800 -4.0525 1.0042
Pt -4.8311 -0.9049 -2.1673
Pt -3.3256 1.0911 -0.8753
Au -5.9014 -4.7059 1.8868
Au -4.7312 -1.9825 2.4458
Au -7.5099 -1.2169 -1.6288
Au -7.8993 -2.6285 1.0056
Au -5.6689 0.0515 0.3963
Au -3.1524 -1.5366 -0.0827
Au -5.5119 -3.2944 -0.7476
Au -10.2588 -4.3862 0.3406
Sr 0.0000 0.0000 0.0000
```

Properties
uncorrected energy: -4.224 eV/atom
formation energy: -0.22 eV/atom
total magnetization: 0.00 μB/f.u.



[4]
DFT (PBE-GGA) results for crystalline Nd2TeO6 at its relaxed geometry.

```
18
Lattice="-5.2304 0.0088 2.0636 1.8508 -3.3692 4.7055 2.4206 6.7259 3.8637" Properties=species:S:1:pos:R:3 pbc="T T T"
O -2.1244 3.1210 4.3819
O -2.0544 -1.1839 7.1805
O -0.2155 -1.9303 4.6664
O -1.6579 1.5052 7.5349
O -0.7435 5.2958 5.9665
O 1.1654 0.2445 6.2509
O -0.5461 4.1700 8.4351
O 0.6989 1.8603 3.0979
O 1.1410 3.3219 6.4783
O 1.0954 4.5495 3.4523
O -0.4129 -0.8044 2.1977
O -2.0999 0.0437 4.1545
Nd -2.3982 3.6594 6.9133
Nd 1.4392 -0.2938 3.7195
Nd 0.6893 1.8811 8.3486
Nd -1.6483 1.4844 2.2843
Te 1.2103 3.3630 1.9319
Te -1.6898 -1.6802 3.3845
```

Properties
formation energy from raw total energies: -21.9 eV per formula unit
uncorrected energy: -7.148 eV/atom
energy above the most stable polymorph in this dataset: 40.7 kJ/mol of formula units
total magnetization: 0.00 μB/f.u.



[5]
DFT (PBE-GGA) results for crystalline Mg2ReIr at its relaxed geometry.

```
4
Lattice="0.0000 3.1672 3.1672 3.1672 0.0000 3.1672 3.1672 3.1672 0.0000" Properties=species:S:1:pos:R:3 pbc="T T T"
Ir 3.1672 3.1672 3.1672
Mg 1.5836 1.5836 1.5836
Mg 4.7509 4.7509 4.7509
Re 0.0000 0.0000 0.0000
```

Properties
uncorrected energy: -5.737 eV/atom
energy above the most stable polymorph in this dataset: 182.0 kJ/mol of formula units
formation energy: 0.39 eV/atom
total magnetization: 2.52 μB/f.u.



[6]
DFT (PBE-GGA) results for crystalline In2SiF5 at its relaxed geometry.

```
8
Lattice="-1.2916 4.1513 2.8696 -4.9267 -0.4984 2.0712 4.0981 -6.7449 1.7170" Properties=species:S:1:pos:R:3 pbc="T T T"
F -3.6896 -0.3217 2.7782
F 1.8225 -3.7706 4.2269
F -1.0184 0.7127 1.0837
F -1.2599 -3.3665 5.0863
F -2.7150 -1.5874 5.5667
In -1.5779 -2.3906 2.7247
In -0.3834 0.3643 3.5423
Si -2.2203 -2.9063 6.4130
```

Properties
formation energy from raw total energies: -18.4 eV per formula unit
uncorrected energy: -4.832 eV/atom
energy above the most stable polymorph in this dataset: 0.0 kJ/mol of formula units
total magnetization: 0.00 μB/f.u.



Question: Which value of uncorrected energy does entry 5 give?
Answer: -5.737 eV/atom



Question: Number 3 is which compound?
Answer: SrPt4Au8



Repeat the fifth record exactly.
DFT (PBE-GGA) results for crystalline Mg2ReIr at its relaxed geometry.

```
4
Lattice="0.0000 3.1672 3.1672 3.1672 0.0000 3.1672 3.1672 3.1672 0.0000" Properties=species:S:1:pos:R:3 pbc="T T T"
Ir 3.1672 3.1672 3.1672
Mg 1.5836 1.5836 1.5836
Mg 4.7509 4.7509 4.7509
Re 0.0000 0.0000 0.0000
```

Properties
uncorrected energy: -5.737 eV/atom
energy above the most stable polymorph in this dataset: 182.0 kJ/mol of formula units
formation energy: 0.39 eV/atom
total magnetization: 2.52 μB/f.u.